# Ac4PdRuSe2 GGA-PBE relaxed
data_Ac4PdRuSe2
_chemical_formula_sum 'Ac4 Pd1 Ru1 Se2'
_cell_length_a 7.5347
_cell_length_b 4.3555
_cell_length_c 8.0749
_cell_angle_alpha 90.00
_cell_angle_beta 107.90
_cell_angle_gamma 90.00
_symmetry_space_group_name_H-M 'P 1 2/m 1'
_symmetry_Int_Tables_number 10
loop_
_symmetry_equiv_pos_as_xyz
'x,y,z'
'-x,-y,-z'
'-x,y,-z'
'x,-y,z'
loop_
_atom_site_label
_atom_site_fract_x
_atom_site_fract_y
_atom_site_fract_z
_atom_site_occupancy
Ac1 0.2330 0.0000 0.2269 1
Ac2 0.2448 0.5000 0.7725 1
Pd1 0.5000 0.0000 0.0000 1
Ru1 0.0000 0.5000 0.0000 1
Se1 0.0000 0.0000 0.5000 1
Se2 0.5000 0.5000 0.5000 1
# E_tot = -46.8 eV per cell
# Fermi-level density of states = 4.4 states/eV/cell
# ΔE_f (raw) = -1.112 eV per atom